Record 1
Here is a geometry-optimized RbPrCdS3 structure from OQMD. Energies are from GGA-PBE.

Output
space group: Pnma
theoretical density: 4.55 g cm⁻³
relative energy among the computed polymorphs: 90 meV/atom

Geometry as CIF:
```
data_RbPrCdS3
_chemical_formula_sum 'Rb4 Pr4 Cd4 S12'
_symmetry_space_group_name_H-M 'P 1'
_symmetry_Int_Tables_number 1
_symmetry_space_group_name_Hall 'P 1'
_cell_length_a 9.063
_cell_length_b 4.346
_cell_length_c 16.118
_cell_angle_alpha 90.00
_cell_angle_beta 90.00
_cell_angle_gamma 90.00
loop_
_atom_site_label
_atom_site_type_symbol
_atom_site_fract_x
_atom_site_fract_y
_atom_site_fract_z
Rb1 Rb 0.053 0.250 0.202
Rb2 Rb 0.447 0.750 0.702
Rb3 Rb 0.553 0.250 0.298
Rb4 Rb 0.947 0.750 0.798
Pr1 Pr 0.236 0.750 0.455
Pr2 Pr 0.264 0.250 0.955
Pr3 Pr 0.736 0.750 0.045
Pr4 Pr 0.764 0.250 0.545
Cd1 Cd 0.133 0.250 0.637
Cd2 Cd 0.367 0.750 0.137
Cd3 Cd 0.633 0.250 0.863
Cd4 Cd 0.867 0.750 0.363
S1 S 0.002 0.750 0.584
S2 S 0.138 0.750 0.039
S3 S 0.213 0.250 0.789
S4 S 0.287 0.750 0.289
S5 S 0.362 0.250 0.539
S6 S 0.498 0.250 0.084
S7 S 0.502 0.750 0.916
S8 S 0.638 0.750 0.461
S9 S 0.713 0.250 0.711
S10 S 0.787 0.750 0.211
S11 S 0.862 0.250 0.961
S12 S 0.998 0.250 0.416
```

Record 2
Here is a geometry-optimized RbPrCdS3 structure from OQMD. Energies are from GGA-PBE.

Output
space group: P2_1/m
theoretical density: 3.95 g cm⁻³
relative energy among the computed polymorphs: 21 meV/atom

Geometry as CIF:
```
data_RbPrCdS3
_chemical_formula_sum 'Rb2 Pr2 Cd2 S6'
_symmetry_space_group_name_H-M 'P 1'
_symmetry_Int_Tables_number 1
_symmetry_space_group_name_Hall 'P 1'
_cell_length_a 8.418
_cell_length_b 4.274
_cell_length_c 10.682
_cell_angle_alpha 90.00
_cell_angle_beta 107.88
_cell_angle_gamma 90.00
loop_
_atom_site_label
_atom_site_type_symbol
_atom_site_fract_x
_atom_site_fract_y
_atom_site_fract_z
Rb1 Rb 0.236 0.250 0.221
Rb2 Rb 0.764 0.750 0.779
Pr1 Pr 0.191 0.750 0.629
Pr2 Pr 0.809 0.250 0.371
Cd1 Cd 0.416 0.250 0.890
Cd2 Cd 0.584 0.750 0.110
S1 S 0.033 0.750 0.360
S2 S 0.272 0.750 0.940
S3 S 0.430 0.250 0.659
S4 S 0.570 0.750 0.341
S5 S 0.728 0.250 0.060
S6 S 0.967 0.250 0.640
```

Record 3
Here is a geometry-optimized RbPrCdS3 structure from OQMD. Energies are from GGA-PBE.

Output
space group: Pnma
theoretical density: 4.09 g cm⁻³
relative energy among the computed polymorphs: 0 meV/atom

Geometry as CIF:
```
data_RbPrCdS3
_chemical_formula_sum 'Rb4 Pr4 Cd4 S12'
_symmetry_space_group_name_H-M 'P 1'
_symmetry_Int_Tables_number 1
_symmetry_space_group_name_Hall 'P 1'
_cell_length_a 11.187
_cell_length_b 4.262
_cell_length_c 14.817
_cell_angle_alpha 90.00
_cell_angle_beta 90.00
_cell_angle_gamma 90.00
loop_
_atom_site_label
_atom_site_type_symbol
_atom_site_fract_x
_atom_site_fract_y
_atom_site_fract_z
Rb1 Rb 0.223 0.250 0.007
Rb2 Rb 0.277 0.750 0.507
Rb3 Rb 0.723 0.250 0.493
Rb4 Rb 0.777 0.750 0.993
Pr1 Pr 0.013 0.750 0.261
Pr2 Pr 0.487 0.250 0.761
Pr3 Pr 0.513 0.750 0.239
Pr4 Pr 0.987 0.250 0.739
Cd1 Cd 0.235 0.750 0.787
Cd2 Cd 0.265 0.250 0.287
Cd3 Cd 0.735 0.750 0.713
Cd4 Cd 0.765 0.250 0.213
S1 S 0.037 0.750 0.866
S2 S 0.079 0.250 0.381
S3 S 0.239 0.250 0.685
S4 S 0.261 0.750 0.185
S5 S 0.421 0.750 0.881
S6 S 0.463 0.250 0.366
S7 S 0.537 0.750 0.634
S8 S 0.579 0.250 0.119
S9 S 0.739 0.250 0.815
S10 S 0.761 0.750 0.315
S11 S 0.921 0.750 0.619
S12 S 0.963 0.250 0.134
```

Record 4
Here is a geometry-optimized RbPrCdS3 structure from OQMD. Energies are from GGA-PBE.

Output
space group: Pnma
theoretical density: 3.98 g cm⁻³
relative energy among the computed polymorphs: 19 meV/atom

Geometry as CIF:
```
data_RbPrCdS3
_chemical_formula_sum 'Rb4 Pr4 Cd4 S12'
_symmetry_space_group_name_H-M 'P 1'
_symmetry_Int_Tables_number 1
_symmetry_space_group_name_Hall 'P 1'
_cell_length_a 15.011
_cell_length_b 4.264
_cell_length_c 11.345
_cell_angle_alpha 90.00
_cell_angle_beta 90.00
_cell_angle_gamma 90.00
loop_
_atom_site_label
_atom_site_type_symbol
_atom_site_fract_x
_atom_site_fract_y
_atom_site_fract_z
Rb1 Rb 0.239 0.250 0.045
Rb2 Rb 0.261 0.750 0.545
Rb3 Rb 0.739 0.250 0.455
Rb4 Rb 0.761 0.750 0.955
Pr1 Pr 0.025 0.250 0.349
Pr2 Pr 0.475 0.750 0.849
Pr3 Pr 0.525 0.250 0.151
Pr4 Pr 0.975 0.750 0.651
Cd1 Cd 0.016 0.750 0.102
Cd2 Cd 0.484 0.250 0.602
Cd3 Cd 0.516 0.750 0.398
Cd4 Cd 0.984 0.250 0.898
S1 S 0.083 0.750 0.885
S2 S 0.090 0.250 0.577
S3 S 0.135 0.750 0.256
S4 S 0.365 0.250 0.756
S5 S 0.410 0.750 0.077
S6 S 0.417 0.250 0.385
S7 S 0.583 0.750 0.615
S8 S 0.590 0.250 0.923
S9 S 0.635 0.750 0.244
S10 S 0.865 0.250 0.744
S11 S 0.910 0.750 0.423
S12 S 0.917 0.250 0.115
```

Record 5
Here is a geometry-optimized PrCdRe structure from OQMD. Energies are from GGA-PBE.

Output
space group: F-43m
theoretical density: 8.58 g cm⁻³
energy of formation from the pure elements: 1397 meV per atom

Geometry as CIF:
```
data_PrCdRe
_chemical_formula_sum 'Pr1 Cd1 Re1'
_symmetry_space_group_name_H-M 'P 1'
_symmetry_Int_Tables_number 1
_symmetry_space_group_name_Hall 'P 1'
_cell_length_a 4.936
_cell_length_b 4.936
_cell_length_c 4.936
_cell_angle_alpha 60.00
_cell_angle_beta 60.00
_cell_angle_gamma 60.00
loop_
_atom_site_label
_atom_site_type_symbol
_atom_site_fract_x
_atom_site_fract_y
_atom_site_fract_z
Pr1 Pr 0.000 0.000 0.000
Cd1 Cd 0.750 0.750 0.750
Re1 Re 0.250 0.250 0.250
```

Record 6
Here is a geometry-optimized PrScCd structure from OQMD. Energies are from GGA-PBE.

Output
space group: F-43m
theoretical density: 5.34 g cm⁻³
relative energy among the computed polymorphs: 180 meV/atom
energy of formation from the pure elements: 534 meV per atom

Geometry as CIF:
```
data_PrScCd
_chemical_formula_sum 'Pr1 Sc1 Cd1'
_symmetry_space_group_name_H-M 'P 1'
_symmetry_Int_Tables_number 1
_symmetry_space_group_name_Hall 'P 1'
_cell_length_a 5.082
_cell_length_b 5.082
_cell_length_c 5.082
_cell_angle_alpha 60.00
_cell_angle_beta 60.00
_cell_angle_gamma 60.00
loop_
_atom_site_label
_atom_site_type_symbol
_atom_site_fract_x
_atom_site_fract_y
_atom_site_fract_z
Pr1 Pr 0.000 0.000 0.000
Sc1 Sc 0.750 0.750 0.750
Cd1 Cd 0.250 0.250 0.250
```

Record 7
Here is a geometry-optimized PrScCd structure from OQMD. Energies are from GGA-PBE.

Output
space group: F-43m
theoretical density: 5.77 g cm⁻³
relative energy among the computed polymorphs: 0 meV/atom
energy of formation from the pure elements: 354 meV per atom

Geometry as CIF:
```
data_PrScCd
_chemical_formula_sum 'Pr1 Sc1 Cd1'
_symmetry_space_group_name_H-M 'P 1'
_symmetry_Int_Tables_number 1
_symmetry_space_group_name_Hall 'P 1'
_cell_length_a 4.951
_cell_length_b 4.951
_cell_length_c 4.951
_cell_angle_alpha 60.00
_cell_angle_beta 60.00
_cell_angle_gamma 60.00
loop_
_atom_site_label
_atom_site_type_symbol
_atom_site_fract_x
_atom_site_fract_y
_atom_site_fract_z
Pr1 Pr 0.000 0.000 0.000
Sc1 Sc 0.750 0.750 0.750
Cd1 Cd 0.500 0.500 0.500
```

Record 8
Here is a geometry-optimized PrCdSi structure from OQMD. Energies are from GGA-PBE.

Output
space group: F-43m
theoretical density: 6.07 g cm⁻³
DFT total energy: -12.1 eV/cell

Geometry as CIF:
```
data_PrCdSi
_chemical_formula_sum 'Pr1 Cd1 Si1'
_symmetry_space_group_name_H-M 'P 1'
_symmetry_Int_Tables_number 1
_symmetry_space_group_name_Hall 'P 1'
_cell_length_a 4.775
_cell_length_b 4.775
_cell_length_c 4.775
_cell_angle_alpha 60.00
_cell_angle_beta 60.00
_cell_angle_gamma 60.00
loop_
_atom_site_label
_atom_site_type_symbol
_atom_site_fract_x
_atom_site_fract_y
_atom_site_fract_z
Pr1 Pr 0.000 0.000 0.000
Cd1 Cd 0.500 0.500 0.500
Si1 Si 0.750 0.750 0.750
```

Record 9
Here is a geometry-optimized PrCd2Si2 structure from OQMD. Energies are from GGA-PBE.

Output
space group: P4/mbm
theoretical density: 6.13 g cm⁻³
DFT total energy: -34.9 eV/cell

Geometry as CIF:
```
data_PrCd2Si2
_chemical_formula_sum 'Pr2 Cd4 Si4'
_symmetry_space_group_name_H-M 'P 1'
_symmetry_Int_Tables_number 1
_symmetry_space_group_name_Hall 'P 1'
_cell_length_a 7.538
_cell_length_b 7.538
_cell_length_c 4.021
_cell_angle_alpha 90.00
_cell_angle_beta 90.00
_cell_angle_gamma 90.00
loop_
_atom_site_label
_atom_site_type_symbol
_atom_site_fract_x
_atom_site_fract_y
_atom_site_fract_z
Pr1 Pr 0.000 0.000 0.000
Pr2 Pr 0.500 0.500 0.000
Cd1 Cd 0.172 0.328 0.500
Cd2 Cd 0.328 0.828 0.500
Cd3 Cd 0.672 0.172 0.500
Cd4 Cd 0.828 0.672 0.500
Si1 Si 0.112 0.612 0.000
Si2 Si 0.388 0.112 0.000
Si3 Si 0.612 0.888 0.000
Si4 Si 0.888 0.388 0.000
```

Record 10
Here is a geometry-optimized PrCdSi structure from OQMD. Energies are from GGA-PBE.

Output
space group: F-43m
theoretical density: 5.38 g cm⁻³
DFT total energy: -10.8 eV/cell

Geometry as CIF:
```
data_PrCdSi
_chemical_formula_sum 'Pr1 Cd1 Si1'
_symmetry_space_group_name_H-M 'P 1'
_symmetry_Int_Tables_number 1
_symmetry_space_group_name_Hall 'P 1'
_cell_length_a 4.972
_cell_length_b 4.972
_cell_length_c 4.972
_cell_angle_alpha 60.00
_cell_angle_beta 60.00
_cell_angle_gamma 60.00
loop_
_atom_site_label
_atom_site_type_symbol
_atom_site_fract_x
_atom_site_fract_y
_atom_site_fract_z
Pr1 Pr 0.000 0.000 0.000
Cd1 Cd 0.750 0.750 0.750
Si1 Si 0.250 0.250 0.250
```

Record 11
Here is a geometry-optimized PrSmCd structure from OQMD. Energies are from GGA-PBE.

Output
space group: F-43m
theoretical density: 6.98 g cm⁻³
relative energy among the computed polymorphs: 0 meV/atom
energy of formation from the pure elements: 384 meV per atom

Geometry as CIF:
```
data_PrSmCd
_chemical_formula_sum 'Pr1 Sm1 Cd1'
_symmetry_space_group_name_H-M 'P 1'
_symmetry_Int_Tables_number 1
_symmetry_space_group_name_Hall 'P 1'
_cell_length_a 5.141
_cell_length_b 5.141
_cell_length_c 5.141
_cell_angle_alpha 60.00
_cell_angle_beta 60.00
_cell_angle_gamma 60.00
loop_
_atom_site_label
_atom_site_type_symbol
_atom_site_fract_x
_atom_site_fract_y
_atom_site_fract_z
Pr1 Pr 0.000 0.000 0.000
Sm1 Sm 0.750 0.750 0.750
Cd1 Cd 0.500 0.500 0.500
```

What did the eleventh record say?
Here is a geometry-optimized PrSmCd structure from OQMD. Energies are from GGA-PBE.

Output
space group: F-43m
theoretical density: 6.98 g cm⁻³
relative energy among the computed polymorphs: 0 meV/atom
energy of formation from the pure elements: 384 meV per atom

Geometry as CIF:
```
data_PrSmCd
_chemical_formula_sum 'Pr1 Sm1 Cd1'
_symmetry_space_group_name_H-M 'P 1'
_symmetry_Int_Tables_number 1
_symmetry_space_group_name_Hall 'P 1'
_cell_length_a 5.141
_cell_length_b 5.141
_cell_length_c 5.141
_cell_angle_alpha 60.00
_cell_angle_beta 60.00
_cell_angle_gamma 60.00
loop_
_atom_site_label
_atom_site_type_symbol
_atom_site_fract_x
_atom_site_fract_y
_atom_site_fract_z
Pr1 Pr 0.000 0.000 0.000
Sm1 Sm 0.750 0.750 0.750
Cd1 Cd 0.500 0.500 0.500
```